# 1
# PBE BaFeSb2, optimized geometry
data_BaFeSb2
_chemical_formula_sum 'Ba1 Fe1 Sb2'
_cell_length_a 4.8928
_cell_length_b 4.8912
_cell_length_c 4.7450
_cell_angle_alpha 90.00
_cell_angle_beta 90.00
_cell_angle_gamma 90.00
_symmetry_space_group_name_H-M 'P 1'
_symmetry_Int_Tables_number 1
_symmetry_space_group_name_Hall 'P 1'
loop_
_atom_site_label
_atom_site_type_symbol
_atom_site_fract_x
_atom_site_fract_y
_atom_site_fract_z
_atom_site_occupancy
Ba1 Ba 0.5000 0.0000 0.5000 1
Fe1 Fe 0.0000 0.5000 0.5000 1
Sb1 Sb 0.0000 0.0000 0.0000 1
Sb2 Sb 0.5000 0.5000 0.0000 1
# V in Å³/f.u.: 113.6
# Crystal system: tetragonal
# Uncorrected energy in hartree per atom: -0.1660
# Total magnetization in μB/atom: 0.839
# Uncorrected formation energy in eV/atom: 0.14


# 2
# PBE Pr2Ho2ErTm2, optimized geometry
data_Pr2Ho2ErTm2
_chemical_formula_sum 'Pr2 Ho2 Er1 Tm2'
_cell_length_a 3.5063
_cell_length_b 6.1038
_cell_length_c 11.8039
_cell_angle_alpha 71.64
_cell_angle_beta 90.00
_cell_angle_gamma 106.69
_symmetry_space_group_name_H-M 'P 1'
_symmetry_Int_Tables_number 1
_symmetry_space_group_name_Hall 'P 1'
loop_
_atom_site_label
_atom_site_type_symbol
_atom_site_fract_x
_atom_site_fract_y
_atom_site_fract_z
_atom_site_occupancy
Pr1 Pr 0.6712 0.3423 0.9141 1
Pr2 Pr 0.3288 0.6577 0.0859 1
Ho1 Ho 0.4509 0.9018 0.7668 1
Ho2 Ho 0.5491 0.0982 0.2332 1
Er1 Er 0.0000 0.0000 0.5000 1
Tm1 Tm 0.7728 0.5456 0.3663 1
Tm2 Tm 0.2272 0.4544 0.6337 1
# V in Å³/f.u.: 228.5
# Crystal system: monoclinic
# Uncorrected energy in hartree per atom: -0.1660
# Total magnetization in μB/atom: 0.000
# DFT formation energy in eV/atom: 0.086


# 3
# PBE AcMgTl, optimized geometry
data_AcMgTl
_chemical_formula_sum 'Ac2 Mg2 Tl2'
_cell_length_a 4.7414
_cell_length_b 4.7414
_cell_length_c 9.1142
_cell_angle_alpha 105.08
_cell_angle_beta 105.08
_cell_angle_gamma 90.00
_symmetry_space_group_name_H-M 'P 1'
_symmetry_Int_Tables_number 1
_symmetry_space_group_name_Hall 'P 1'
loop_
_atom_site_label
_atom_site_type_symbol
_atom_site_fract_x
_atom_site_fract_y
_atom_site_fract_z
_atom_site_occupancy
Ac1 Ac 0.6697 0.6697 0.3394 1
Ac2 Ac 0.3303 0.3303 0.6606 1
Mg1 Mg 0.5000 0.0000 0.0000 1
Mg2 Mg 0.0000 0.5000 0.0000 1
Tl1 Tl 0.1189 0.1189 0.2379 1
Tl2 Tl 0.8811 0.8811 0.7621 1
# V in Å³/f.u.: 95.3
# Crystal system: tetragonal
# Distance to the lowest polymorph of the same formula in eV per atom: 0.071
# Uncorrected energy in hartree per atom: -0.1086
# Total magnetization in μB/atom: 0.116
# DFT formation energy in eV/atom: -0.264


# 4
# PBE U4Si, optimized geometry
data_U4Si
_chemical_formula_sum 'U4 Si1'
_cell_length_a 5.1703
_cell_length_b 6.6008
_cell_length_c 4.4431
_cell_angle_alpha 90.00
_cell_angle_beta 115.43
_cell_angle_gamma 129.62
_symmetry_space_group_name_H-M 'P 1'
_symmetry_Int_Tables_number 1
_symmetry_space_group_name_Hall 'P 1'
loop_
_atom_site_label
_atom_site_type_symbol
_atom_site_fract_x
_atom_site_fract_y
_atom_site_fract_z
_atom_site_occupancy
U1 U 0.5448 0.3666 0.7725 1
U2 U 0.4552 0.6334 0.2275 1
U3 U 0.1875 0.8212 0.5937 1
U4 U 0.8125 0.1788 0.4063 1
Si1 Si 0.0000 0.0000 0.0000 1
# V in Å³/f.u.: 97.0
# Crystal system: monoclinic
# Distance to the lowest polymorph of the same formula in eV per atom: 0.000
# Uncorrected energy in hartree per atom: -0.3797
# Total magnetization in μB/atom: 0.000
# Uncorrected formation energy in eV/atom: -0.22


# 5
# PBE BaY2Au, optimized geometry
data_BaY2Au
_chemical_formula_sum 'Ba1 Y2 Au1'
_cell_length_a 6.9329
_cell_length_b 6.9329
_cell_length_c 3.6603
_cell_angle_alpha 75.49
_cell_angle_beta 75.49
_cell_angle_gamma 122.00
_symmetry_space_group_name_H-M 'P 1'
_symmetry_Int_Tables_number 1
_symmetry_space_group_name_Hall 'P 1'
loop_
_atom_site_label
_atom_site_type_symbol
_atom_site_fract_x
_atom_site_fract_y
_atom_site_fract_z
_atom_site_occupancy
Au1 Au 0.5000 0.0000 0.5000 1
Ba1 Ba 0.0000 0.5000 0.5000 1
Y1 Y 0.0000 0.0000 0.0000 1
Y2 Y 0.5000 0.5000 0.0000 1
# V in Å³/f.u.: 127.7
# Crystal system: monoclinic
# Distance to the lowest polymorph of the same formula in eV per atom: 0.342
# Uncorrected energy in hartree per atom: -0.1651
# Total magnetization in μB/atom: 0.000
# DFT formation energy in eV/atom: 0.040


# 6
# PBE Ce4Bi3Br, optimized geometry
data_Ce4Bi3Br
_chemical_formula_sum 'Ce4 Bi3 Br1'
_cell_length_a 4.6004
_cell_length_b 7.8020
_cell_length_c 7.8625
_cell_angle_alpha 69.80
_cell_angle_beta 90.00
_cell_angle_gamma 90.00
_symmetry_space_group_name_H-M 'P 1'
_symmetry_Int_Tables_number 1
_symmetry_space_group_name_Hall 'P 1'
loop_
_atom_site_label
_atom_site_type_symbol
_atom_site_fract_x
_atom_site_fract_y
_atom_site_fract_z
_atom_site_occupancy
Br1 Br 0.5000 0.5000 0.9999 1
Bi1 Bi 0.4999 0.9999 0.5002 1
Bi2 Bi 0.0000 0.0002 0.0000 1
Bi3 Bi 0.0000 0.5004 0.4995 1
Ce1 Ce 0.0000 0.7451 0.7546 1
Ce2 Ce 0.5000 0.7483 0.2482 1
Ce3 Ce 0.9999 0.2546 0.2458 1
Ce4 Ce 0.5000 0.2524 0.7514 1
# V in Å³/f.u.: 264.9
# Crystal system: monoclinic
# Uncorrected energy in hartree per atom: -0.2021
# Total magnetization in μB/atom: 0.570
# Uncorrected formation energy in eV/atom: -0.87


# 7
# PBE CdRhPb2Cl, optimized geometry
data_CdRhPb2Cl
_chemical_formula_sum 'Cd1 Rh1 Pb2 Cl1'
_cell_length_a 5.2226
_cell_length_b 5.2226
_cell_length_c 5.2742
_cell_angle_alpha 90.00
_cell_angle_beta 90.00
_cell_angle_gamma 90.00
_symmetry_space_group_name_H-M 'P 1'
_symmetry_Int_Tables_number 1
_symmetry_space_group_name_Hall 'P 1'
loop_
_atom_site_label
_atom_site_type_symbol
_atom_site_fract_x
_atom_site_fract_y
_atom_site_fract_z
_atom_site_occupancy
Pb1 Pb 0.0000 0.5000 0.0000 1
Pb2 Pb 0.5000 0.0000 0.0000 1
Cl1 Cl 0.5000 0.5000 0.5000 1
Rh1 Rh 0.0000 0.0000 0.0000 1
Cd1 Cd 0.0000 0.0000 0.5000 1
# V in Å³/f.u.: 143.9
# Crystal system: tetragonal
# Uncorrected energy in hartree per atom: -0.1386
# Total magnetization in μB/atom: 0.000
# Uncorrected formation energy in eV/atom: -0.27


# 8
# PBE YTl2P, optimized geometry
data_YTl2P
_chemical_formula_sum 'Y1 Tl2 P1'
_cell_length_a 7.8709
_cell_length_b 7.8709
_cell_length_c 7.8709
_cell_angle_alpha 151.38
_cell_angle_beta 150.92
_cell_angle_gamma 41.25
_symmetry_space_group_name_H-M 'P 1'
_symmetry_Int_Tables_number 1
_symmetry_space_group_name_Hall 'P 1'
loop_
_atom_site_label
_atom_site_type_symbol
_atom_site_fract_x
_atom_site_fract_y
_atom_site_fract_z
_atom_site_occupancy
Y1 Y 0.0000 0.5000 0.5000 1
Tl1 Tl 0.6872 0.6872 0.0000 1
Tl2 Tl 0.3128 0.3128 0.0000 1
P1 P 0.5000 0.0000 0.5000 1
# V in Å³/f.u.: 113.3
# Crystal system: orthorhombic
# Distance to the lowest polymorph of the same formula in eV per atom: 0.059
# Uncorrected energy in hartree per atom: -0.1693
# Total magnetization in μB/atom: 0.000
# DFT formation energy in eV/atom: -0.456


# 9
# PBE GdSn2Bi, optimized geometry
data_GdSn2Bi
_chemical_formula_sum 'Gd1 Sn2 Bi1'
_cell_length_a 4.9530
_cell_length_b 4.7479
_cell_length_c 4.7479
_cell_angle_alpha 90.00
_cell_angle_beta 90.00
_cell_angle_gamma 90.00
_symmetry_space_group_name_H-M 'P 1'
_symmetry_Int_Tables_number 1
_symmetry_space_group_name_Hall 'P 1'
loop_
_atom_site_label
_atom_site_type_symbol
_atom_site_fract_x
_atom_site_fract_y
_atom_site_fract_z
_atom_site_occupancy
Gd1 Gd 0.5000 0.5000 0.5000 1
Bi1 Bi 0.5000 0.0000 0.0000 1
Sn1 Sn 0.0000 0.0000 0.5000 1
Sn2 Sn 0.0000 0.5000 0.0000 1
# V in Å³/f.u.: 111.7
# Crystal system: tetragonal
# Uncorrected energy in hartree per atom: -0.2544
# Total magnetization in μB/atom: 1.730
# DFT formation energy in eV/atom: -0.431


# 10
# PBE HoEr2Ti, optimized geometry
data_HoEr2Ti
_chemical_formula_sum 'Ho1 Er2 Ti1'
_cell_length_a 3.3944
_cell_length_b 3.3944
_cell_length_c 10.9775
_cell_angle_alpha 81.11
_cell_angle_beta 81.11
_cell_angle_gamma 60.00
_symmetry_space_group_name_H-M 'P 1'
_symmetry_Int_Tables_number 1
_symmetry_space_group_name_Hall 'P 1'
loop_
_atom_site_label
_atom_site_type_symbol
_atom_site_fract_x
_atom_site_fract_y
_atom_site_fract_z
_atom_site_occupancy
Ho1 Ho 0.5002 0.5002 0.4995 1
Er1 Er 0.0759 0.0759 0.7724 1
Er2 Er 0.2576 0.2576 0.2272 1
Ti1 Ti 0.6663 0.6663 0.0010 1
# V in Å³/f.u.: 107.8
# Crystal system: trigonal
# Distance to the lowest polymorph of the same formula in eV per atom: 0.026
# Uncorrected energy in hartree per atom: -0.1918
# Total magnetization in μB/atom: 0.000
# DFT formation energy in eV/atom: 0.181


# 11
# PBE TiMn3, optimized geometry
data_TiMn3
_chemical_formula_sum 'Ti1 Mn3'
_cell_length_a 4.0958
_cell_length_b 4.0958
_cell_length_c 4.0958
_cell_angle_alpha 60.00
_cell_angle_beta 60.00
_cell_angle_gamma 60.00
_symmetry_space_group_name_H-M 'P 1'
_symmetry_Int_Tables_number 1
_symmetry_space_group_name_Hall 'P 1'
loop_
_atom_site_label
_atom_site_type_symbol
_atom_site_fract_x
_atom_site_fract_y
_atom_site_fract_z
_atom_site_occupancy
Mn1 Mn 0.0000 0.0000 0.0000 1
Mn2 Mn 0.7500 0.7500 0.7500 1
Mn3 Mn 0.2500 0.2500 0.2500 1
Ti1 Ti 0.5000 0.5000 0.5000 1
# V in Å³/f.u.: 48.6
# Crystal system: cubic
# Uncorrected energy in hartree per atom: -0.3275
# Total magnetization in μB/atom: 0.197
# DFT formation energy in eV/atom: -0.060


# 12
# PBE AcNd4Ho3Se8, optimized geometry
data_AcNd4Ho3Se8
_chemical_formula_sum 'Ac1 Nd4 Ho3 Se8'
_cell_length_a 8.3774
_cell_length_b 8.4337
_cell_length_c 8.3787
_cell_angle_alpha 119.80
_cell_angle_beta 119.99
_cell_angle_gamma 90.00
_symmetry_space_group_name_H-M 'P 1'
_symmetry_Int_Tables_number 1
_symmetry_space_group_name_Hall 'P 1'
loop_
_atom_site_label
_atom_site_type_symbol
_atom_site_fract_x
_atom_site_fract_y
_atom_site_fract_z
_atom_site_occupancy
Ac1 Ac 0.0000 0.5000 0.0000 1
Nd1 Nd 0.5000 0.0000 0.0000 1
Nd2 Nd 0.5000 0.0000 0.5000 1
Nd3 Nd 0.0000 0.0000 0.0000 1
Nd4 Nd 0.0000 0.0000 0.5000 1
Ho1 Ho 0.5000 0.5000 0.0000 1
Ho2 Ho 0.5000 0.5000 0.5000 1
Ho3 Ho 0.0000 0.5000 0.5000 1
Se1 Se 0.2546 0.7426 0.9878 1
Se2 Se 0.2545 0.7420 0.5090 1
Se3 Se 0.2559 0.2671 0.5118 1
Se4 Se 0.7332 0.7426 0.9878 1
Se5 Se 0.2668 0.2574 0.0122 1
Se6 Se 0.7441 0.7329 0.4882 1
Se7 Se 0.7455 0.2580 0.4910 1
Se8 Se 0.7454 0.2574 0.0122 1
# V in Å³/f.u.: 419.9
# Crystal system: trigonal
# Uncorrected energy in hartree per atom: -0.2141
# Total magnetization in μB/atom: 0.000
# Uncorrected formation energy in eV/atom: -1.78